The following is a PBE-GGA calculation of a geometry-optimized Mn6CoIr structure, from the Alexandria database.

abc: 5.127 5.127 3.624
angles: 90.00 90.00 90.24
Sites, in units of the cell vectors:
Mn  0.000  0.500  0.500
Mn  0.242  0.242  0.000
Mn  0.242  0.758  0.000
Mn  0.500  0.000  0.500
Mn  0.758  0.242  0.000
Mn  0.758  0.758  0.000
Co  0.000  0.000  0.500
Ir  0.500  0.500  0.500

Properties
Spin magnetization   2.77 μB/f.u.
Energy of formation from the pure elements   -0.80 eV/f.u.
Electronic total energy   -8.973 eV per atom


The following is a PBE-GGA calculation of a geometry-optimized BaLi2Mg structure, from the Alexandria database.

abc: 5.713 5.713 5.713
angles: 60.00 60.00 60.00
Sites, in units of the cell vectors:
Ba  0.000  0.000  0.000
Li  0.500  0.500  0.500
Li  0.750  0.750  0.750
Mg  0.250  0.250  0.250

Properties
Spin magnetization   0.00 μB/f.u.
Energy of formation from the pure elements   0.35 eV/f.u.
Electronic total energy   -1.749 eV per atom


The following is a PBE-GGA calculation of a geometry-optimized KU2S5 structure, from the Alexandria database.

abc: 8.055 8.055 8.055
angles: 150.20 130.47 58.88
Sites, in units of the cell vectors:
K  0.000  0.000  0.000
U  0.314  0.814  0.500
U  0.686  0.186  0.500
S  0.088  0.342  0.746
S  0.404  0.658  0.746
S  0.500  0.000  0.500
S  0.596  0.342  0.254
S  0.912  0.658  0.254

Properties
Spin magnetization   3.00 μB/f.u.
ΔE_f (raw)   -11.0 eV per formula unit
Electronic total energy   -6.912 eV per atom


The following is a PBE-GGA calculation of a geometry-optimized Pa3Ge5S12 structure, from the Alexandria database.

abc: 13.413 13.413 13.413
angles: 109.47 109.47 109.47
Sites, in units of the cell vectors:
Pa  0.125  0.250  0.375
Pa  0.125  0.375  0.750
Pa  0.250  0.375  0.125
Pa  0.250  0.875  0.625
Pa  0.375  0.125  0.250
Pa  0.375  0.750  0.125
Pa  0.625  0.250  0.875
Pa  0.625  0.875  0.750
Pa  0.750  0.125  0.375
Pa  0.750  0.625  0.875
Pa  0.875  0.625  0.250
Pa  0.875  0.750  0.625
Ge  0.000  0.000  0.000
Ge  0.000  0.000  0.500
Ge  0.000  0.500  0.000
Ge  0.000  0.500  0.500
Ge  0.125  0.750  0.875
Ge  0.125  0.875  0.250
Ge  0.250  0.125  0.875
Ge  0.250  0.625  0.375
Ge  0.375  0.250  0.625
Ge  0.375  0.625  0.750
Ge  0.500  0.000  0.000
Ge  0.500  0.000  0.500
Ge  0.500  0.500  0.000
Ge  0.500  0.500  0.500
Ge  0.625  0.375  0.250
Ge  0.625  0.750  0.375
Ge  0.750  0.375  0.625
Ge  0.750  0.875  0.125
Ge  0.875  0.125  0.750
Ge  0.875  0.250  0.125
S  0.048  0.221  0.137
S  0.048  0.327  0.911
S  0.083  0.721  0.673
S  0.083  0.863  0.411
S  0.089  0.637  0.417
S  0.089  0.952  0.673
S  0.137  0.048  0.221
S  0.137  0.589  0.917
S  0.173  0.221  0.583
S  0.173  0.452  0.589
S  0.221  0.137  0.048
S  0.221  0.583  0.173
S  0.279  0.327  0.917
S  0.279  0.452  0.363
S  0.327  0.911  0.048
S  0.327  0.917  0.279
S  0.363  0.279  0.452
S  0.363  0.583  0.911
S  0.411  0.083  0.863
S  0.411  0.827  0.548
S  0.417  0.089  0.637
S  0.417  0.827  0.779
S  0.452  0.363  0.279
S  0.452  0.589  0.173
S  0.548  0.411  0.827
S  0.548  0.637  0.721
S  0.583  0.173  0.221
S  0.583  0.911  0.363
S  0.589  0.173  0.452
S  0.589  0.917  0.137
S  0.637  0.417  0.089
S  0.637  0.721  0.548
S  0.673  0.083  0.721
S  0.673  0.089  0.952
S  0.721  0.548  0.637
S  0.721  0.673  0.083
S  0.779  0.417  0.827
S  0.779  0.863  0.952
S  0.827  0.548  0.411
S  0.827  0.779  0.417
S  0.863  0.411  0.083
S  0.863  0.952  0.779
S  0.911  0.048  0.327
S  0.911  0.363  0.583
S  0.917  0.137  0.589
S  0.917  0.279  0.327
S  0.952  0.673  0.089
S  0.952  0.779  0.863

Properties
Spin magnetization   1.20 μB/f.u.
ΔE_f (raw)   -15.4 eV per formula unit
Electronic total energy   -5.823 eV per atom


Question: The lowest spin magnetization belongs to which entry?
Answer: BaLi2Mg


Question: Among the records above, which one has the lowest electronic total energy?
Answer: Mn6CoIr